First-principles (GGA-PBE) data for a relaxed Cs4HgF2 crystal, as listed in Alexandria.

Cell: 6.861 6.861 17.367 Å, 90.00 90.00 90.00°
Space group I4/mmm (No. 139)
Asymmetric unit:
Cs (0.000, 0.000, 0.237) [4 per cell]
Cs (0.000, 0.500, 0.000) [4 per cell]
Hg (0.000, 0.000, 0.500) [2 per cell]
F (0.000, 0.000, 0.092) [4 per cell]

**Total DFT energy (no corrections)**: -2.316 eV/atom
**Raw formation energy**: -8.8 eV/f.u.

First-principles (GGA-PBE) data for a relaxed Cs3Hg2F6 crystal, as listed in Alexandria.

Cell: 4.888 4.888 20.973 Å, 90.00 90.00 90.00°
Space group I4/mmm (No. 139)
Asymmetric unit:
Cs (0.000, 0.000, 0.000) [2 per cell]
Cs (0.000, 0.000, 0.181) [4 per cell]
Hg (0.000, 0.000, 0.428) [4 per cell]
F (0.000, 0.000, 0.319) [4 per cell]
F (0.000, 0.500, 0.082) [8 per cell]

**Total DFT energy (no corrections)**: -3.340 eV/atom
**Raw formation energy**: -22.4 eV/f.u.

Question: Which value of total DFT energy (no corrections) does entry 1 give?
Answer: -2.316 eV/atom

Question: Number 1 is which compound?
Answer: Cs4HgF2